Entry 1:
! Ca2DyY | Alexandria | PBE | relaxed; values from VASP
&SYSTEM
  ibrav = 0, nat = 12, ntyp = 3
/
ATOMIC_SPECIES
Ca 40.08 Ca.upf
Dy 162.50 Dy.upf
Y 88.91 Y.upf
ATOMIC_POSITIONS angstrom
Ca 0.0000 0.0000 0.0000
Ca 0.0000 0.0000 6.1139
Ca 0.0000 2.1171 24.5877
Ca 0.0000 2.1171 30.7015
Ca 1.8334 1.0585 12.2938
Ca 1.8334 1.0585 18.4077
Dy 0.0000 0.0000 21.5000
Dy 0.0000 2.1171 9.2062
Dy 1.8334 1.0585 33.7939
Y 0.0000 0.0000 27.6385
Y 0.0000 2.1171 15.3447
Y 1.8334 1.0585 3.0508
CELL_PARAMETERS angstrom
3.6669 0.0000 0.0000
-1.8334 3.1756 0.0000
0.0000 0.0000 36.8815
! **Distance to the lowest polymorph of the same formula**: 0 meV per atom
! **Crystal system**: trigonal



Entry 2:
! CaDyY14 | Alexandria | PBE | relaxed; values from VASP
&SYSTEM
  ibrav = 0, nat = 16, ntyp = 3
/
ATOMIC_SPECIES
Ca 40.08 Ca.upf
Dy 162.50 Dy.upf
Y 88.91 Y.upf
ATOMIC_POSITIONS angstrom
Ca 0.0000 0.0000 0.0000
Dy 0.0000 0.0000 6.3489
Y 0.0000 -1.8251 9.5040
Y 0.0000 1.8251 9.5040
Y 2.8166 0.0000 8.4513
Y 2.8836 -1.8093 5.2741
Y 2.8836 1.8093 5.2741
Y 2.8946 0.0000 2.1375
Y 5.6947 0.0000 12.6799
Y 5.6947 -1.8320 3.1724
Y 5.6947 1.8320 3.1724
Y 5.6947 0.0000 6.3379
Y 8.4947 0.0000 2.1375
Y 8.5058 -1.8093 5.2741
Y 8.5058 1.8093 5.2741
Y 8.5728 0.0000 8.4513
CELL_PARAMETERS angstrom
11.3894 0.0000 0.0000
0.0000 3.6617 6.3402
0.0000 -3.6617 6.3402
! **Crystal system**: orthorhombic



Entry 3:
! Ca2DyY | Alexandria | PBE | relaxed; values from VASP
&SYSTEM
  ibrav = 0, nat = 12, ntyp = 3
/
ATOMIC_SPECIES
Ca 40.08 Ca.upf
Dy 162.50 Dy.upf
Y 88.91 Y.upf
ATOMIC_POSITIONS angstrom
Ca 0.0000 0.0000 9.2692
Ca 0.0000 0.0000 27.7755
Ca 0.0000 2.1136 15.4273
Ca 0.0000 2.1136 33.9656
Ca 1.8305 1.0568 3.0790
Ca 1.8305 1.0568 21.6174
Dy 0.0000 0.0000 0.0000
Dy 0.0000 2.1136 24.6965
Dy 1.8305 1.0568 12.3482
Y 0.0000 0.0000 18.5223
Y 0.0000 2.1136 6.1741
Y 1.8305 1.0568 30.8705
CELL_PARAMETERS angstrom
3.6609 0.0000 0.0000
-1.8305 3.1705 0.0000
0.0000 0.0000 37.0447
! **Distance to the lowest polymorph of the same formula**: 7 meV per atom
! **Crystal system**: trigonal



Entry 4:
! CaDy4Y | Alexandria | PBE | relaxed; values from VASP
&SYSTEM
  ibrav = 0, nat = 12, ntyp = 3
/
ATOMIC_SPECIES
Ca 40.08 Ca.upf
Dy 162.50 Dy.upf
Y 88.91 Y.upf
ATOMIC_POSITIONS angstrom
Ca 0.0000 0.0000 0.0000
Ca 8.7179 1.8095 0.0000
Dy 2.6469 0.0000 2.4569
Dy 2.3316 1.8095 5.5492
Dy 5.6318 0.0000 0.7099
Dy 5.3165 1.8095 3.8022
Dy 11.3649 1.8095 2.4569
Dy 11.0495 0.0000 5.5492
Dy 14.3497 1.8095 0.7099
Dy 14.0344 0.0000 3.8022
Y -0.3773 1.8095 3.1295
Y 8.3407 0.0000 3.1295
CELL_PARAMETERS angstrom
17.4358 0.0000 0.0000
0.0000 3.6190 0.0000
-0.7545 0.0000 6.2591
! **Distance to the lowest polymorph of the same formula**: 0 meV per atom
! **Crystal system**: monoclinic



Entry 5:
! CaDy4Y15 | Alexandria | PBE | relaxed; values from VASP
&SYSTEM
  ibrav = 0, nat = 20, ntyp = 3
/
ATOMIC_SPECIES
Ca 40.08 Ca.upf
Dy 162.50 Dy.upf
Y 88.91 Y.upf
ATOMIC_POSITIONS angstrom
Ca 0.0000 0.0000 0.0000
Dy 0.0000 0.0000 5.1219
Dy 0.0000 0.0000 10.1667
Dy 0.0000 0.0000 15.2048
Dy 0.0000 0.0000 20.2496
Y 0.0000 2.5311 2.6591
Y 0.0000 2.5311 7.6567
Y 0.0000 2.5311 12.6858
Y 0.0000 2.5311 17.7148
Y 0.0000 2.5311 22.7124
Y 2.5311 0.0000 2.6591
Y 2.5311 0.0000 7.6567
Y 2.5311 0.0000 12.6858
Y 2.5311 0.0000 17.7148
Y 2.5311 0.0000 22.7124
Y 2.5311 2.5311 0.0000
Y 2.5311 2.5311 5.1093
Y 2.5311 2.5311 10.1639
Y 2.5311 2.5311 15.2076
Y 2.5311 2.5311 20.2622
CELL_PARAMETERS angstrom
5.0622 0.0000 0.0000
0.0000 5.0622 0.0000
0.0000 0.0000 25.3715
! **Crystal system**: tetragonal



Entry 6:
! CaDy4Y | Alexandria | PBE | relaxed; values from VASP
&SYSTEM
  ibrav = 0, nat = 6, ntyp = 3
/
ATOMIC_SPECIES
Ca 40.08 Ca.upf
Dy 162.50 Dy.upf
Y 88.91 Y.upf
ATOMIC_POSITIONS angstrom
Ca 0.0000 0.0000 0.0000
Dy 5.8533 3.5357 3.5357
Dy 3.5357 5.8533 3.5357
Dy 3.5357 3.5357 5.8533
Dy 5.8533 5.8533 5.8533
Y 2.3473 2.3473 2.3473
CELL_PARAMETERS angstrom
0.0000 4.6945 4.6945
4.6945 0.0000 4.6945
4.6945 4.6945 0.0000
! **Distance to the lowest polymorph of the same formula**: 146 meV per atom
! **Crystal system**: cubic



Entry 7:
! CaDy4Y4 | Alexandria | PBE | relaxed; values from VASP
&SYSTEM
  ibrav = 0, nat = 18, ntyp = 3
/
ATOMIC_SPECIES
Ca 40.08 Ca.upf
Dy 162.50 Dy.upf
Y 88.91 Y.upf
ATOMIC_POSITIONS angstrom
Ca -0.7378 1.5016 2.5618
Ca 4.4863 4.3726 7.3079
Dy -0.6858 1.3065 6.0365
Dy -0.2509 7.3977 3.9332
Dy 0.7110 -1.6458 7.3301
Dy 0.2276 2.8684 9.3485
Dy 3.5209 3.0058 0.5212
Dy 3.0375 7.5200 2.5396
Dy 3.9993 -1.5235 5.9365
Dy 4.4342 4.5676 3.8332
Y -1.6722 -0.1139 9.1884
Y 1.7076 0.0193 0.6452
Y 1.1948 4.4585 2.4801
Y 1.1359 4.4047 5.8492
Y 2.6126 1.4695 4.0205
Y 2.5537 1.4157 7.3896
Y 2.0409 5.8549 9.2245
Y 5.4206 5.9881 0.6813
CELL_PARAMETERS angstrom
6.6415 0.0000 0.0000
-0.9753 9.0108 0.0000
-1.9176 -3.1366 9.8697
! **Crystal system**: triclinic



Entry 8:
! Ca2Dy5Y4 | Alexandria | PBE | relaxed; values from VASP
&SYSTEM
  ibrav = 0, nat = 11, ntyp = 3
/
ATOMIC_SPECIES
Ca 40.08 Ca.upf
Dy 162.50 Dy.upf
Y 88.91 Y.upf
ATOMIC_POSITIONS angstrom
Ca -0.7612 0.0000 2.6290
Ca 6.9423 0.0000 6.0820
Dy 2.1264 1.8811 2.8730
Dy 4.0548 1.8811 5.8381
Dy 6.1660 0.0000 0.0000
Dy 2.1264 -1.8811 2.8730
Dy 4.0548 -1.8811 5.8381
Y 2.6232 0.0000 0.1634
Y 1.2246 0.0000 5.6069
Y 4.9566 0.0000 3.1041
Y 3.5579 0.0000 8.5476
CELL_PARAMETERS angstrom
6.1660 -3.4663 0.0000
6.1660 3.4663 0.0000
-6.1508 0.0000 8.7110
! **Crystal system**: monoclinic



Entry 9:
! CaDy3Y6 | Alexandria | PBE | relaxed; values from VASP
&SYSTEM
  ibrav = 0, nat = 20, ntyp = 3
/
ATOMIC_SPECIES
Ca 40.08 Ca.upf
Dy 162.50 Dy.upf
Y 88.91 Y.upf
ATOMIC_POSITIONS angstrom
Ca 1.3516 0.8932 0.9585
Ca 6.6749 2.6796 14.5683
Dy -1.2844 0.8932 10.3952
Dy 2.8936 0.8932 6.7065
Dy 3.9142 0.8932 3.4092
Dy 4.1123 2.6796 12.1176
Dy 5.1328 2.6796 8.8203
Dy 9.3108 2.6796 5.1315
Y -0.4844 0.8932 7.1245
Y -1.9760 2.6796 13.2052
Y 0.7675 2.6796 4.2415
Y 1.5867 2.6796 9.5410
Y 1.0842 0.8932 12.7583
Y 4.4908 2.6796 0.3171
Y 3.5356 0.8932 15.2097
Y 6.9423 2.6796 2.7685
Y 6.4398 0.8932 5.9857
Y 7.2589 0.8932 11.2853
Y 10.0024 0.8932 2.3216
Y 8.5109 2.6796 8.4023
CELL_PARAMETERS angstrom
11.9678 0.0000 0.0000
0.0000 3.5727 0.0000
-3.9414 0.0000 15.5268
! **Crystal system**: monoclinic



Entry 10:
! CaDyZn10 | Alexandria | PBE | relaxed; values from VASP
&SYSTEM
  ibrav = 0, nat = 12, ntyp = 3
/
ATOMIC_SPECIES
Ca 40.08 Ca.upf
Dy 162.50 Dy.upf
Zn 65.41 Zn.upf
ATOMIC_POSITIONS angstrom
Ca 0.0000 0.0000 0.0000
Dy 0.0000 2.6697 4.6151
Zn 0.0000 0.0000 3.0703
Zn 0.0000 0.0000 6.1599
Zn 0.0000 2.6697 1.5322
Zn 0.0000 2.6697 7.6980
Zn 2.1222 0.0000 4.6151
Zn 2.1222 1.3627 2.3780
Zn 2.1222 1.3627 6.8523
Zn 2.1222 2.6697 0.0000
Zn 2.1222 3.9766 2.3780
Zn 2.1222 3.9766 6.8523
CELL_PARAMETERS angstrom
4.2445 0.0000 0.0000
0.0000 5.3393 0.0000
0.0000 0.0000 9.2302
! **Crystal system**: orthorhombic



Entry 11:
! CaDy2Zn3 | Alexandria | PBE | relaxed; values from VASP
&SYSTEM
  ibrav = 0, nat = 6, ntyp = 3
/
ATOMIC_SPECIES
Ca 40.08 Ca.upf
Dy 162.50 Dy.upf
Zn 65.41 Zn.upf
ATOMIC_POSITIONS angstrom
Ca 0.0000 0.0000 0.0000
Dy 0.0000 0.0000 3.6978
Dy 0.0000 0.0000 7.2218
Zn 1.7932 1.7932 1.9738
Zn 1.7932 1.7932 5.4598
Zn 1.7932 1.7932 8.9457
CELL_PARAMETERS angstrom
3.5864 0.0000 0.0000
0.0000 3.5864 0.0000
0.0000 0.0000 10.9195
! **Crystal system**: tetragonal



Entry 12:
! Ca2DyZn | Alexandria | PBE | relaxed; values from VASP
&SYSTEM
  ibrav = 0, nat = 12, ntyp = 3
/
ATOMIC_SPECIES
Ca 40.08 Ca.upf
Dy 162.50 Dy.upf
Zn 65.41 Zn.upf
ATOMIC_POSITIONS angstrom
Ca 0.0000 0.0000 3.4733
Ca 0.0000 0.0000 31.1886
Ca 0.0000 2.0786 19.6346
Ca 0.0000 2.0786 26.5812
Ca 1.8001 1.0393 8.0806
Ca 1.8001 1.0393 15.0272
Dy 0.0000 0.0000 0.0000
Dy 0.0000 2.0786 23.1079
Dy 1.8001 1.0393 11.5539
Zn 0.0000 0.0000 17.3309
Zn 0.0000 2.0786 5.7770
Zn 1.8001 1.0393 28.8849
CELL_PARAMETERS angstrom
3.6003 0.0000 0.0000
-1.8001 3.1179 0.0000
0.0000 0.0000 34.6618
! **Distance to the lowest polymorph of the same formula**: 216 meV per atom
! **Crystal system**: trigonal



Entry 13:
! CaDyZn4 | Alexandria | PBE | relaxed; values from VASP
&SYSTEM
  ibrav = 0, nat = 6, ntyp = 3
/
ATOMIC_SPECIES
Ca 40.08 Ca.upf
Dy 162.50 Dy.upf
Zn 65.41 Zn.upf
ATOMIC_POSITIONS angstrom
Ca 0.0000 0.0000 0.0000
Dy 1.9431 1.9431 1.9431
Zn 4.8505 2.9220 2.9220
Zn 2.9220 4.8505 2.9220
Zn 2.9220 2.9220 4.8505
Zn 4.8505 4.8505 4.8505
CELL_PARAMETERS angstrom
0.0000 3.8862 3.8862
3.8862 0.0000 3.8862
3.8862 3.8862 0.0000
! **Distance to the lowest polymorph of the same formula**: 0 meV per atom
! **Crystal system**: cubic



Entry 14:
! CaDy2Zn9 | Alexandria | PBE | relaxed; values from VASP
&SYSTEM
  ibrav = 0, nat = 12, ntyp = 3
/
ATOMIC_SPECIES
Ca 40.08 Ca.upf
Dy 162.50 Dy.upf
Zn 65.41 Zn.upf
ATOMIC_POSITIONS angstrom
Ca 0.0000 0.0000 0.0000
Dy 0.0000 0.0000 3.6324
Dy 0.0000 0.0000 21.9943
Zn -1.4020 -0.8095 10.6764
Zn 0.0000 0.0000 8.5905
Zn 0.0000 -1.6189 14.9503
Zn -1.4020 0.8095 14.9503
Zn 0.0000 0.0000 12.8133
Zn 1.4020 -0.8095 10.6764
Zn 0.0000 1.6189 10.6764
Zn 0.0000 0.0000 17.0362
Zn 1.4020 0.8095 14.9503
CELL_PARAMETERS angstrom
2.7476 1.5863 8.5422
-2.7476 1.5863 8.5422
0.0000 -3.1726 8.5422
! **Crystal system**: trigonal



Entry 15:
! CaDyZn4 | Alexandria | PBE | relaxed; values from VASP
&SYSTEM
  ibrav = 0, nat = 12, ntyp = 3
/
ATOMIC_SPECIES
Ca 40.08 Ca.upf
Dy 162.50 Dy.upf
Zn 65.41 Zn.upf
ATOMIC_POSITIONS angstrom
Ca 0.0000 0.0000 0.0000
Ca 2.0756 2.0756 7.6313
Dy 0.0000 2.0756 3.8157
Dy 2.0756 0.0000 11.4470
Zn 0.0000 0.0000 6.3630
Zn 0.0000 0.0000 8.8996
Zn 0.0000 2.0756 10.2175
Zn 0.0000 2.0756 12.6764
Zn 2.0756 0.0000 2.5862
Zn 2.0756 0.0000 5.0451
Zn 2.0756 2.0756 1.2683
Zn 2.0756 2.0756 13.9943
CELL_PARAMETERS angstrom
4.1513 0.0000 0.0000
0.0000 4.1513 0.0000
0.0000 0.0000 15.2626
! **Distance to the lowest polymorph of the same formula**: 10 meV per atom
! **Crystal system**: tetragonal



Entry 16:
! CaDy3Zn2 | Alexandria | PBE | relaxed; values from VASP
&SYSTEM
  ibrav = 0, nat = 12, ntyp = 3
/
ATOMIC_SPECIES
Ca 40.08 Ca.upf
Dy 162.50 Dy.upf
Zn 65.41 Zn.upf
ATOMIC_POSITIONS angstrom
Ca 0.0000 0.5397 0.0000
Ca 0.0000 8.5863 3.4483
Dy 0.0000 3.0036 4.4237
Dy 0.0000 6.1224 0.9754
Dy 2.5222 1.5923 2.2280
Dy 2.5222 4.0333 6.6718
Dy 2.5222 5.0927 3.2234
Dy 2.5222 7.5337 5.6764
Zn 0.0000 3.2338 1.4993
Zn 0.0000 5.8922 4.9476
Zn 2.5222 1.4042 5.1555
Zn 2.5222 7.7218 1.7071
CELL_PARAMETERS angstrom
5.0443 0.0000 0.0000
0.0000 9.1260 0.0000
0.0000 0.0000 6.8967
! **Crystal system**: orthorhombic



Entry 17:
! CaDyZn | Alexandria | PBE | relaxed; values from VASP
&SYSTEM
  ibrav = 0, nat = 6, ntyp = 3
/
ATOMIC_SPECIES
Ca 40.08 Ca.upf
Dy 162.50 Dy.upf
Zn 65.41 Zn.upf
ATOMIC_POSITIONS angstrom
Ca 1.2006 1.2006 1.0322
Ca 3.6019 3.6019 6.6361
Dy 1.2006 3.6019 3.8341
Dy 3.6019 1.2006 3.8341
Zn 1.2006 1.2006 5.6154
Zn 3.6019 3.6019 2.0529
CELL_PARAMETERS angstrom
4.8026 0.0000 0.0000
0.0000 4.8026 0.0000
0.0000 0.0000 7.6683
! **Distance to the lowest polymorph of the same formula**: 45 meV per atom
! **Crystal system**: tetragonal



Entry 18:
! CaDy4Zn5 | Alexandria | PBE | relaxed; values from VASP
&SYSTEM
  ibrav = 0, nat = 10, ntyp = 3
/
ATOMIC_SPECIES
Ca 40.08 Ca.upf
Dy 162.50 Dy.upf
Zn 65.41 Zn.upf
ATOMIC_POSITIONS angstrom
Ca 0.0000 0.0000 0.0000
Dy 0.0000 0.0000 3.6856
Dy 0.0000 0.0000 7.2256
Dy 0.0000 0.0000 10.7725
Dy 0.0000 0.0000 14.3125
Zn 1.7917 1.7917 1.9764
Zn 1.7917 1.7917 5.4468
Zn 1.7917 1.7917 8.9990
Zn 1.7917 1.7917 12.5512
Zn 1.7917 1.7917 16.0217
CELL_PARAMETERS angstrom
3.5835 0.0000 0.0000
0.0000 3.5835 0.0000
0.0000 0.0000 17.9981
! **Crystal system**: tetragonal



Entry 19:
! Ca2DyZn3 | Alexandria | PBE | relaxed; values from VASP
&SYSTEM
  ibrav = 0, nat = 6, ntyp = 3
/
ATOMIC_SPECIES
Ca 40.08 Ca.upf
Dy 162.50 Dy.upf
Zn 65.41 Zn.upf
ATOMIC_POSITIONS angstrom
Ca 0.0000 0.0000 1.8563
Ca 0.0000 0.0000 9.0775
Dy 0.0000 0.0000 5.4669
Zn 1.8188 1.8188 0.0000
Zn 1.8188 1.8188 3.7889
Zn 1.8188 1.8188 7.1449
CELL_PARAMETERS angstrom
3.6376 0.0000 0.0000
0.0000 3.6376 0.0000
0.0000 0.0000 10.9338
! **Distance to the lowest polymorph of the same formula**: 2 meV per atom
! **Crystal system**: tetragonal



Entry 20:
! Ca4DyZn5 | Alexandria | PBE | relaxed; values from VASP
&SYSTEM
  ibrav = 0, nat = 10, ntyp = 3
/
ATOMIC_SPECIES
Ca 40.08 Ca.upf
Dy 162.50 Dy.upf
Zn 65.41 Zn.upf
ATOMIC_POSITIONS angstrom
Ca 0.0000 0.0000 1.8599
Ca 0.0000 0.0000 5.5637
Ca 0.0000 0.0000 12.7438
Ca 0.0000 0.0000 16.4476
Dy 0.0000 0.0000 9.1538
Zn 1.8250 1.8250 0.0000
Zn 1.8250 1.8250 3.7011
Zn 1.8250 1.8250 7.4789
Zn 1.8250 1.8250 10.8286
Zn 1.8250 1.8250 14.6064
CELL_PARAMETERS angstrom
3.6499 0.0000 0.0000
0.0000 3.6499 0.0000
0.0000 0.0000 18.3075
! **Crystal system**: tetragonal



Here are the calculated volume numbers, same order: 35.789; 33.051; 35.831; 32.913; 32.508; 34.486; 32.814; 33.852; 33.195; 17.432; 23.409; 32.424; 19.564; 18.616; 21.918; 26.457; 29.478; 23.112; 24.113; 24.389 (Å³ per atom).
Here are the calculated energy numbers, same order: -3.64; -6.05; -3.63; -4.42; -5.83; -4.28; -5.07; -4.59; -5.38; -1.86; -2.82; -2.27; -2.23; -2.17; -2.22; -3.25; -2.74; -3.00; -2.34; -2.16 (eV/atom).